First-principles (SCAN) data for a PBEsol-optimized structure of TaCdIn, as listed in the Alexandria database.

Lattice parameters (Å, degrees): 3.0323 3.0323 7.4763 90.00 90.00 120.00
Closest atoms and distances in Å follow each position.
Atoms (fractional coordinates):
Ta: 0.0000 0.0000 0.0000  3 In 2.99, 3 Cd 3.00, 6 Ta 3.03
Cd: 0.6667 0.3333 0.6735  3 Ta 3.00, 6 Cd 3.03, 3 In 3.14
In: 0.3333 0.6667 0.3243  3 Ta 2.99, 6 In 3.03, 3 Cd 3.14

## Properties
**Total energy**: -43.187 eV per atom